Here is a geometry-optimized Ce4Ge6Os7 structure from Alexandria via LeMat-Bulk. Energies are from PBE.

Values from the calculation:
The magnetic moment comes out at 0.00 μB/f.u. As for the energy relative to the elements: -0.505 eV/atom. Its mass density is 12.87 g/cm³. As for the space-group type: Im-3m (229).

a = 7.3066 Å, b = 7.3066 Å, c = 7.3066 Å
α = 109.47°, β = 109.47°, γ = 109.47°
With the nearest neighbours (Å) after each atom.
Positions (direct):
Ce (0.0000, 0.0000, 0.5000)  6 Os 2.98, 6 Ge 3.03
Ce (0.0000, 0.5000, 0.0000)  6 Os 2.98, 6 Ge 3.03
Ce (0.5000, 0.0000, 0.0000)  6 Os 2.98, 6 Ge 3.03
Ce (0.5000, 0.5000, 0.5000)  6 Os 2.98, 6 Ge 3.03
Ge (0.0000, 0.3124, 0.3124)  5 Os 2.64
Ge (0.0000, 0.6876, 0.6876)  5 Os 2.64
Ge (0.3124, 0.0000, 0.3124)  5 Os 2.64
Ge (0.3124, 0.3124, 0.0000)  5 Os 2.64
Ge (0.6876, 0.0000, 0.6876)  5 Os 2.64
Ge (0.6876, 0.6876, 0.0000)  5 Os 2.64
Os (0.0000, 0.0000, 0.0000)  6 Ge 2.64
Os (0.2500, 0.5000, 0.7500)  4 Ge 2.64
Os (0.2500, 0.7500, 0.5000)  4 Ge 2.64
Os (0.5000, 0.2500, 0.7500)  4 Ge 2.64
Os (0.5000, 0.7500, 0.2500)  4 Ge 2.64
Os (0.7500, 0.2500, 0.5000)  4 Ge 2.64
Os (0.7500, 0.5000, 0.2500)  4 Ge 2.64

***

Here is a geometry-optimized Ca2MgW structure from Alexandria via LeMat-Bulk. Energies are from PBE.

Values from the calculation:
The magnetic moment comes out at 0.00 μB/f.u. As for the energy relative to the elements: 0.735 eV/atom. Its mass density is 4.91 g/cm³. As for the space-group type: P2/m (10).

a = 3.0340 Å, b = 4.9618 Å, c = 6.4755 Å
α = 90.00°, β = 90.27°, γ = 90.00°
With the nearest neighbours (Å) after each atom.
Positions (direct):
Ca (0.0023, 0.0000, 0.2330)  3 Ca 3.02-3.03, 4 W 3.28, 2 Mg 3.38
Ca (0.9977, 0.0000, 0.7670)  3 Ca 3.02-3.03, 4 W 3.28, 2 Mg 3.38
Mg (0.5000, 0.5000, 0.5000)  2 Mg 3.03, 2 W 3.24, 8 Ca 3.38-3.39
W (0.5000, 0.5000, 0.0000)  2 W 3.03, 2 Mg 3.24, 8 Ca 3.28

***

Here is a geometry-optimized La2TbNd5Er structure from Alexandria via LeMat-Bulk. Energies are from PBE.

Values from the calculation:
The magnetic moment comes out at 0.00 μB/f.u. As for the energy relative to the elements: 0.124 eV/atom. Its mass density is 6.89 g/cm³. As for the space-group type: Cmc2_1 (36).

a = 10.6449 Å, b = 10.6449 Å, c = 10.8452 Å
α = 90.00°, β = 90.00°, γ = 148.70°
With the nearest neighbours (Å) after each atom.
Positions (direct):
La (0.1139, 0.8861, 0.5000)  1 Tb 3.47, 7 Nd 3.53-3.75, 2 Er 3.82
La (0.1173, 0.8827, 0.0820)  8 Nd 3.30-3.63
La (0.8827, 0.1173, 0.5820)  8 Nd 3.30-3.63
La (0.8861, 0.1139, 0.0000)  1 Tb 3.47, 7 Nd 3.53-3.75, 2 Er 3.82
Tb (0.2003, 0.7997, 0.7749)  2 La 3.47-3.74, 8 Nd 3.56-3.86, 2 Er 3.65
Tb (0.7997, 0.2003, 0.2749)  2 La 3.47-3.74, 8 Nd 3.56-3.86, 2 Er 3.65
Nd (0.0155, 0.9845, 0.7853)  2 Er 3.34, 3 La 3.50-3.69
Nd (0.2783, 0.7217, 0.0765)  1 Er 3.12, 1 La 3.30, 2 Nd 3.46
Nd (0.2959, 0.7041, 0.4681)  1 Er 3.45, 3 Nd 3.46-3.84, 3 Tb 3.56-3.86, 3 La 3.60-3.75
Nd (0.3859, 0.6141, 0.7874)  6 Nd 3.61-3.92, 4 La 3.63-3.68, 1 Tb 3.81
Nd (0.4822, 0.5178, 0.5088)  2 Er 3.30-3.40, 2 Nd 3.61-3.62, 2 La 3.61
Nd (0.5178, 0.4822, 0.0088)  2 Er 3.30-3.40, 2 Nd 3.61-3.62, 2 La 3.61
Nd (0.6141, 0.3859, 0.2874)  6 Nd 3.61-3.92, 4 La 3.63-3.68, 1 Tb 3.81
Nd (0.7041, 0.2959, 0.9681)  1 Er 3.45, 3 Nd 3.46-3.84, 3 Tb 3.56-3.86, 3 La 3.60-3.75
Nd (0.7217, 0.2783, 0.5765)  1 Er 3.12, 1 La 3.30, 2 Nd 3.46
Nd (0.9845, 0.0155, 0.2853)  2 Er 3.34, 3 La 3.50-3.69
Er (0.4072, 0.5928, 0.2294)  6 Nd 3.12-3.45
Er (0.5928, 0.4072, 0.7294)  6 Nd 3.12-3.45

***

Here is a geometry-optimized PtF6 structure from Alexandria via LeMat-Bulk. Energies are from PBE.

Values from the calculation:
The value obtained for the uncorrected formation energy is -1.10 eV/atom. The magnetic moment comes out at 2.01 μB/f.u. Its mass density is 4.62 g/cm³. As for the space-group type: Pnma (62).

a = 9.6868 Å, b = 8.9320 Å, c = 5.1310 Å
α = 90.00°, β = 90.00°, γ = 90.00°
With the nearest neighbours (Å) after each atom.
Positions (direct):
Pt (0.1286, 0.2500, 0.0853)  6 F 1.90
Pt (0.3714, 0.7500, 0.5853)  6 F 1.90
Pt (0.6286, 0.2500, 0.4147)  6 F 1.90
Pt (0.8714, 0.7500, 0.9147)  6 F 1.90
F (0.0137, 0.2500, 0.7857)  1 Pt 1.90
F (0.0164, 0.0998, 0.2390)  1 Pt 1.90
F (0.0164, 0.4002, 0.2390)  1 Pt 1.90
F (0.2411, 0.1000, 0.9324)  1 Pt 1.90
F (0.2411, 0.4000, 0.9324)  1 Pt 1.90
F (0.2435, 0.2500, 0.3853)  1 Pt 1.90
F (0.2565, 0.7500, 0.8853)  1 Pt 1.90
F (0.2589, 0.6000, 0.4324)  1 Pt 1.90
F (0.2589, 0.9000, 0.4324)  1 Pt 1.90
F (0.4836, 0.5998, 0.7390)  1 Pt 1.90
F (0.4836, 0.9002, 0.7390)  1 Pt 1.90
F (0.4863, 0.7500, 0.2857)  1 Pt 1.90
F (0.5137, 0.2500, 0.7143)  1 Pt 1.90
F (0.5164, 0.0998, 0.2610)  1 Pt 1.90
F (0.5164, 0.4002, 0.2610)  1 Pt 1.90
F (0.7411, 0.1000, 0.5676)  1 Pt 1.90
F (0.7411, 0.4000, 0.5676)  1 Pt 1.90
F (0.7435, 0.2500, 0.1147)  1 Pt 1.90
F (0.7565, 0.7500, 0.6147)  1 Pt 1.90
F (0.7589, 0.6000, 0.0676)  1 Pt 1.90
F (0.7589, 0.9000, 0.0676)  1 Pt 1.90
F (0.9836, 0.5998, 0.7610)  1 Pt 1.90
F (0.9836, 0.9002, 0.7610)  1 Pt 1.90
F (0.9863, 0.7500, 0.2143)  1 Pt 1.90

***

Here is a geometry-optimized AcBi8Rh2 structure from Alexandria via LeMat-Bulk. Energies are from PBE.

Values from the calculation:
The magnetic moment comes out at 0.00 μB/f.u. As for the energy relative to the elements: -0.210 eV/atom. Its mass density is 10.92 g/cm³. As for the space-group type: C2/m (12).

a = 8.2220 Å, b = 8.2220 Å, c = 5.2315 Å
α = 95.89°, β = 95.89°, γ = 112.92°
With the nearest neighbours (Å) after each atom.
Positions (direct):
Ac (0.0000, 0.0000, 0.0000)  12 Bi 3.51-3.79
Bi (0.0565, 0.3410, 0.5844)  2 Rh 2.88-3.13
Bi (0.2582, 0.7418, 0.0000)  2 Rh 2.80
Bi (0.3410, 0.0565, 0.5844)  2 Rh 2.88-3.13
Bi (0.3902, 0.3902, 0.2084)  2 Rh 2.85
Bi (0.6098, 0.6098, 0.7916)  2 Rh 2.85
Bi (0.6590, 0.9435, 0.4156)  2 Rh 2.88-3.13
Bi (0.7418, 0.2582, 0.0000)  2 Rh 2.80
Bi (0.9435, 0.6590, 0.4156)  2 Rh 2.88-3.13
Rh (0.3306, 0.6694, 0.5000)  6 Bi 2.80-2.88
Rh (0.6694, 0.3306, 0.5000)  6 Bi 2.80-2.88

***

Here is a geometry-optimized LaNi structure from Alexandria via LeMat-Bulk. Energies are from PBE.

Values from the calculation:
The magnetic moment comes out at 0.40 μB/f.u. As for the energy relative to the elements: 0.462 eV/atom. Its mass density is 4.38 g/cm³. As for the space-group type: Pm-3n (223).

a = 7.6624 Å, b = 7.6624 Å, c = 7.6624 Å
α = 90.00°, β = 90.00°, γ = 90.00°
With the nearest neighbours (Å) after each atom.
Positions (direct):
La (0.0000, 0.2500, 0.5000)  4 Ni 2.71
La (0.0000, 0.7500, 0.5000)  4 Ni 2.71
La (0.2500, 0.5000, 0.0000)  4 Ni 2.71
La (0.5000, 0.0000, 0.2500)  4 Ni 2.71
La (0.5000, 0.0000, 0.7500)  4 Ni 2.71
La (0.7500, 0.5000, 0.0000)  4 Ni 2.71
Ni (0.0000, 0.5000, 0.2500)  4 La 2.71
Ni (0.0000, 0.5000, 0.7500)  4 La 2.71
Ni (0.2500, 0.0000, 0.5000)  4 La 2.71
Ni (0.5000, 0.2500, 0.0000)  4 La 2.71
Ni (0.5000, 0.7500, 0.0000)  4 La 2.71
Ni (0.7500, 0.0000, 0.5000)  4 La 2.71

***

Here is a geometry-optimized Sr6Bi3O structure from Alexandria via LeMat-Bulk. Energies are from PBE.

Values from the calculation:
The value obtained for the uncorrected formation energy is -1.17 eV/atom. The magnetic moment comes out at 0.37 μB/f.u. Its mass density is 4.78 g/cm³. As for the space-group type: Cmc2_1 (36).

a = 10.3370 Å, b = 10.3370 Å, c = 7.7783 Å
α = 90.00°, β = 90.00°, γ = 102.57°
With the nearest neighbours (Å) after each atom.
Positions (direct):
Sr (0.0543, 0.9457, 0.5000)  1 O 2.42
Sr (0.1130, 0.5946, 0.4710)  1 O 2.42
Sr (0.2170, 0.7830, 0.9181)  1 O 2.42
Sr (0.3221, 0.3576, 0.9301)  4 Bi 3.31-3.46
Sr (0.3576, 0.3221, 0.4301)  4 Bi 3.31-3.46
Sr (0.4054, 0.8870, 0.4710)  1 O 2.42
Sr (0.5946, 0.1130, 0.9710)  1 O 2.42
Sr (0.6424, 0.6779, 0.9301)  4 Bi 3.31-3.46
Sr (0.6779, 0.6424, 0.4301)  4 Bi 3.31-3.46
Sr (0.7830, 0.2170, 0.4181)  1 O 2.42
Sr (0.8870, 0.4054, 0.9710)  1 O 2.42
Sr (0.9457, 0.0543, 0.0000)  1 O 2.42
Bi (0.0698, 0.2835, 0.6589)  7 Sr 3.31-3.67
Bi (0.2835, 0.0698, 0.1589)  7 Sr 3.31-3.67
Bi (0.3832, 0.6168, 0.2075)  7 Sr 3.39-3.50
Bi (0.6168, 0.3832, 0.7075)  7 Sr 3.39-3.50
Bi (0.7165, 0.9302, 0.6589)  7 Sr 3.31-3.67
Bi (0.9302, 0.7165, 0.1589)  7 Sr 3.31-3.67
O (0.1943, 0.8057, 0.6111)  4 Sr 2.42
O (0.8057, 0.1943, 0.1111)  4 Sr 2.42

***

Here is a geometry-optimized NaY2TlS structure from Alexandria via LeMat-Bulk. Energies are from PBE.

Values from the calculation:
The value obtained for the uncorrected formation energy is -0.73 eV/atom. The magnetic moment comes out at 0.00 μB/f.u. Its mass density is 5.27 g/cm³. As for the space-group type: P4/mmm (123).

a = 5.2664 Å, b = 5.2664 Å, c = 4.9709 Å
α = 90.00°, β = 90.00°, γ = 90.00°
With the nearest neighbours (Å) after each atom.
Positions (direct):
Na (0.0000, 0.0000, 0.0000)  2 S 2.49
Y (0.0000, 0.5000, 0.5000)  2 S 2.63
Y (0.5000, 0.0000, 0.5000)  2 S 2.63
Tl (0.5000, 0.5000, 0.0000)  8 Y 3.62, 4 Na 3.72
S (0.0000, 0.0000, 0.5000)  2 Na 2.49, 4 Y 2.63

***

Here is a geometry-optimized Tm2Zn5Au3 structure from Alexandria via LeMat-Bulk. Energies are from PBE.

Values from the calculation:
The magnetic moment comes out at 0.00 μB/f.u. As for the energy relative to the elements: -0.447 eV/atom. Its mass density is 10.99 g/cm³. As for the space-group type: Ibam (72).

a = 8.6795 Å, b = 8.6795 Å, c = 8.6795 Å
α = 100.05°, β = 92.16°, γ = 141.98°
With the nearest neighbours (Å) after each atom.
Positions (direct):
Tm (0.2405, 0.1245, 0.3651)  4 Au 3.00-3.10, 4 Zn 3.07-3.16
Tm (0.2595, 0.6245, 0.8840)  4 Au 3.00-3.10, 4 Zn 3.07-3.16
Tm (0.7405, 0.3755, 0.1160)  4 Au 3.00-3.10, 4 Zn 3.07-3.16
Tm (0.7595, 0.8755, 0.6349)  4 Au 3.00-3.10, 4 Zn 3.07-3.16
Zn (0.1351, 0.8649, 0.9999)  3 Au 2.55-2.63, 2 Zn 2.55
Zn (0.2500, 0.5074, 0.2574)  5 Zn 2.55-2.83, 2 Au 2.71
Zn (0.2500, 0.7500, 0.5000)  4 Au 2.68, 4 Zn 2.71-2.83
Zn (0.2500, 0.9926, 0.7426)  5 Zn 2.55-2.83, 2 Au 2.71
Zn (0.3649, 0.3649, 0.7298)  3 Au 2.55-2.63, 2 Zn 2.55
Zn (0.6351, 0.6351, 0.2702)  3 Au 2.55-2.63, 2 Zn 2.55
Zn (0.7500, 0.0074, 0.2574)  5 Zn 2.55-2.83, 2 Au 2.71
Zn (0.7500, 0.2500, 0.5000)  4 Au 2.68, 4 Zn 2.71-2.83
Zn (0.7500, 0.4926, 0.7426)  5 Zn 2.55-2.83, 2 Au 2.71
Zn (0.8649, 0.1351, 0.0001)  3 Au 2.55-2.63, 2 Zn 2.55
Au (0.1541, 0.3808, 0.5349)  5 Zn 2.55-2.71
Au (0.2500, 0.2500, 0.0000)  6 Zn 2.63-2.87, 2 Au 2.83
Au (0.3459, 0.8808, 0.2267)  5 Zn 2.55-2.71
Au (0.6541, 0.1192, 0.7733)  5 Zn 2.55-2.71
Au (0.7500, 0.7500, 0.0000)  6 Zn 2.63-2.87, 2 Au 2.83
Au (0.8459, 0.6192, 0.4652)  5 Zn 2.55-2.71

***

Here is a geometry-optimized In2SiBr structure from Alexandria via LeMat-Bulk. Energies are from PBE.

Values from the calculation:
The value obtained for the uncorrected formation energy is 0.06 eV/atom. The magnetic moment comes out at 0.00 μB/f.u. Its mass density is 4.87 g/cm³. As for the space-group type: P2/m (10).

a = 5.3261 Å, b = 4.3375 Å, c = 5.6425 Å
α = 90.00°, β = 117.90°, γ = 90.00°
With the nearest neighbours (Å) after each atom.
Positions (direct):
In (0.1739, 0.0000, 0.3462)  2 Si 2.77, 2 In 3.07
In (0.8261, 0.0000, 0.6538)  2 Si 2.77, 2 In 3.07
Si (0.0000, 0.5000, 0.0000)  2 Br 2.66, 4 In 2.77
Br (0.5000, 0.5000, 0.0000)  2 Si 2.66

***

Here is a geometry-optimized TcP2Pd structure from Alexandria via LeMat-Bulk. Energies are from PBE.

Values from the calculation:
The magnetic moment comes out at 0.00 μB/f.u. As for the energy relative to the elements: -0.233 eV/atom. Its mass density is 7.48 g/cm³. As for the space-group type: R3m (160).

a = 7.6415 Å, b = 7.6415 Å, c = 7.6415 Å
α = 22.87°, β = 22.87°, γ = 22.87°
With the nearest neighbours (Å) after each atom.
Positions (direct):
Tc (0.0000, 0.0000, 0.0000)  6 P 2.44
P (0.4092, 0.4092, 0.4092)  3 Tc 2.44, 3 Pd 2.47
P (0.5902, 0.5902, 0.5902)  3 Tc 2.44
Pd (0.1542, 0.1542, 0.1542)  3 P 2.47

***

Here is a geometry-optimized PbC structure from Alexandria via LeMat-Bulk. Energies are from PBE.

Values from the calculation:
The magnetic moment comes out at 0.00 μB/f.u. As for the energy relative to the elements: 0.902 eV/atom. Its mass density is 7.93 g/cm³. As for the space-group type: P2_1/m (11).

a = 4.3820 Å, b = 2.7473 Å, c = 7.9283 Å
α = 90.00°, β = 105.97°, γ = 90.00°
With the nearest neighbours (Å) after each atom.
Positions (direct):
Pb (0.1739, 0.2500, 0.3467)  2 Pb 2.75
Pb (0.8261, 0.7500, 0.6533)  2 Pb 2.75
C (0.4987, 0.7500, 0.9974)  2 C 1.37
C (0.5013, 0.2500, 0.0026)  2 C 1.37

***

mass density of number 1 (Ce4Ge6Os7)? 12.87 g/cm³

***

magnetic moment of number 12 (PbC)? 0.00 μB/f.u.

***

Which value of mass density does entry 2 give? 4.91 g/cm³